ZrCo3O | GGA+U | optimized geometry

Its crystal system is cubic. For the calculated density, the calculation gives 4.89 g/cm3. As for the polymorph energy (0 for the lowest one): 1810 meV per atom.

abc: 4.587 4.587 4.587
angles: 90.00 90.00 90.00
Each line ends with the local moment (μB).
Fractional coordinates of all 5 atoms:
1 Co 0.000 0.500 0.000  1.20
2 Co 0.500 0.000 0.000  1.08
3 Co 0.000 0.000 0.500  1.32
4 Zr 0.000 0.000 0.000  -0.45
5 O 0.500 0.500 0.500  -0.07